Record 1
DFT (PBE-GGA) results for an optimized crystal structure of NdDyNiI.

Output
Formation energy without anion corrections = -2.64 eV per formula unit
Space group = R3m
Calculated volume = 28.53 Å³ per atom

abc: 8.2985 8.2985 8.2985
angles: 28.38 28.38 28.38
Fractional coordinates of all 4 atoms:
Nd: 0.0000 0.0000 0.0000
Dy: 0.2129 0.2129 0.2129
Ni: 0.6042 0.6042 0.6042
I: 0.7765 0.7765 0.7765

---

Record 2
DFT (PBE-GGA) results for an optimized crystal structure of CsNaHgSb.

Output
Formation energy without anion corrections = -1.12 eV per formula unit
Space group = Amm2
Calculated volume = 45.27 Å³ per atom

abc: 5.8182 6.0020 6.0020
angles: 59.77 90.00 90.00
Fractional coordinates of all 4 atoms:
Cs: 0.0000 0.0000 0.0000
Na: 0.5000 0.6679 0.6679
Hg: 0.0000 0.3324 0.3324
Sb: 0.5000 0.3333 0.3333

---

Record 3
DFT (PBE-GGA) results for an optimized crystal structure of Y3ZnCu8.

Output
Space group = R3m
Calculated volume = 16.24 Å³ per atom
Formation energy from the elements = -0.19 eV per atom

abc: 8.9619 8.9619 8.9619
angles: 33.46 33.46 33.46
Fractional coordinates of all 12 atoms:
Y: 0.0000 0.0000 0.0000
Y: 0.1273 0.1273 0.1273
Y: 0.6111 0.6111 0.6111
Zn: 0.4887 0.4887 0.4887
Cu: 0.0539 0.0539 0.5642
Cu: 0.0539 0.5642 0.0539
Cu: 0.0605 0.5589 0.5589
Cu: 0.3072 0.3072 0.3072
Cu: 0.5589 0.0605 0.5589
Cu: 0.5589 0.5589 0.0605
Cu: 0.5642 0.0539 0.0539
Cu: 0.8091 0.8091 0.8091

---

- The highest calculated volume belongs to which entry?
  CsNaHgSb